The following is a PBE calculation of TaBe2Cl after structural relaxation, from the Alexandria database.

Symmetry: P4/mmm, No. 123
Electronic total energy, eV per cell: -19.654
Calculated volume, A^3/atom: 15.11
Excess energy over the best structure of this formula in the dataset, meV per atom: 235

Lattice parameters (Å, degrees): 3.286 3.288 5.595 90.00 90.00 90.00
Atoms (fractional coordinates):
Cl 0.500 0.500 0.250
Be 0.000 0.000 0.928
Be 0.000 0.000 0.572
Ta 0.500 0.500 0.750